Record 1
Compound: LiMn3V
Source: Alexandria via LeMat-Bulk
Functional: GGA-PBE
Structure: relaxed

CIF file:
```
data_LiMn3V
_cell_length_a 4.096
_cell_length_b 4.096
_cell_length_c 4.096
_cell_angle_alpha 90.00
_cell_angle_beta 90.00
_cell_angle_gamma 90.00
_space_group_name_H-M_alt 'P m -3 m'
_space_group_IT_number 221
_space_group_name_Hall '-P 4 2 3'
loop_
_atom_site_label
_atom_site_type_symbol
_atom_site_fract_x
_atom_site_fract_y
_atom_site_fract_z
Li1 Li 0.000 0.000 0.000
Mn1 Mn 0.000 0.000 0.500
V1 V 0.500 0.500 0.500
```

---

Record 2
Compound: LiMn3V
Source: Alexandria via LeMat-Bulk
Functional: GGA-PBE
Structure: relaxed

CIF file:
```
data_LiMn3V
_cell_length_a 4.503
_cell_length_b 4.503
_cell_length_c 4.503
_cell_angle_alpha 90.00
_cell_angle_beta 90.00
_cell_angle_gamma 90.00
_space_group_name_H-M_alt 'P m -3 m'
_space_group_IT_number 221
_space_group_name_Hall '-P 4 2 3'
loop_
_atom_site_label
_atom_site_type_symbol
_atom_site_fract_x
_atom_site_fract_y
_atom_site_fract_z
Li1 Li 0.000 0.000 0.000
Mn1 Mn 0.000 0.500 0.500
V1 V 0.500 0.500 0.500
```

---

| no. | DFT formation energy (eV per atom) | E above lowest polymorph (eV per formula unit) |
| --- | --- | --- |
| 1 | 1.001 | 0.619 |
| 2 | 0.877 | 0.000 |